## ReMo3N (PBE-GGA)

Data for crystalline ReMo3N at its relaxed geometry.

## Properties
Energy above the most stable polymorph in this dataset   0 meV per atom
Raw total energy   -53.470 eV/cell
E_form (uncorrected)   -41 meV per atom
Size of the total moment   0.00 Bohr magnetons per cell

Cell: 4.106 4.106 4.106 Å, 90.00 90.00 90.00°
Element x y z (fractional)
N (0.000, 0.000, 0.000)
Mo (0.000, 0.000, 0.500)
Mo (0.000, 0.500, 0.000)
Mo (0.500, 0.000, 0.000)
Re (0.500, 0.500, 0.500)